No. 1
Crystalline Y2FeSe at its relaxed geometry. Source: Alexandria via LeMat-Bulk, functional PBEsol.

```
Y2FeSe
1.0
-2.0343 2.7388 -0.5336
-2.8033 -2.6504 -2.9287
-2.7332 -1.2904 3.7848
Fe Se Y
1 1 2
Cartesian
-1.0171 1.3694 -0.2668 Fe
-3.7854 -0.6010 0.1613 Se
-1.4017 -1.3252 -1.4643 Y
-1.3666 -0.6452 1.8924 Y
```

Values from the calculation:
For the density of states at the Fermi level, the calculation gives 0.781 states/eV per atom. Its symmetry is P4/mmm, No. 123. For the volume, the calculation gives 20.25 Å³/atom. Its formation energy (no corrections) is -0.565 eV/atom. The final energy is -7.18 eV per atom.

=====

No. 2
Crystalline ZnFe2Se at its relaxed geometry. Source: Alexandria via LeMat-Bulk, functional PBEsol.

```
ZnFe2Se
1.0
-2.8762 -1.9955 2.3634
1.0565 -1.4757 3.8140
-1.5269 1.8489 3.4771
Fe Se Zn
2 1 1
Cartesian
0.0000 0.0000 0.0000 Fe
-2.5100 -1.2167 7.2408 Fe
-1.6733 -0.8111 4.8272 Se
-0.8367 -0.4056 2.4136 Zn
```

Values from the calculation:
For the density of states at the Fermi level, the calculation gives 0.522 states/eV per atom. Its symmetry is F-43m, No. 216. For the volume, the calculation gives 13.32 Å³/atom. Its formation energy (no corrections) is 0.367 eV/atom. The final energy is -5.47 eV per atom. The distance to the lowest polymorph of the same formula is 180.3 meV per atom.

=====

Q: Look up the volume of the first one.
A: 20.25 Å³/atom

=====

Q: The lowest formation energy (no corrections) belongs to which entry?
A: Y2FeSe